Entry from Alexandria via LeMat-Bulk: an optimized crystal structure of NpNiWO6 (PBE+U).

Computed properties:
total moment = 0.556 μB/atom
space-group type = P-31c (163)
total DFT energy (no corrections) = -71.27 eV per formula unit
mass density = 8.705 g cm⁻³
calculated volume = 219.57 Å³ per cell

Cell lengths 5.213, 5.213, 9.329 Å; angles 90.00, 90.00, 120.00 degrees
Fractional positions:
Np 0.333 0.667 0.250
Np 0.667 0.333 0.750
Ni 0.333 0.667 0.750
Ni 0.667 0.333 0.250
W 0.000 0.000 0.000
W 0.000 0.000 0.500
O 0.000 0.326 0.128
O 0.000 0.326 0.628
O 0.000 0.674 0.372
O 0.000 0.674 0.872
O 0.326 0.000 0.128
O 0.326 0.000 0.628
O 0.326 0.326 0.372
O 0.326 0.326 0.872
O 0.674 0.000 0.372
O 0.674 0.000 0.872
O 0.674 0.674 0.128
O 0.674 0.674 0.628